# 1
This record from the Alexandria database describes a relaxed structure of Tm5AlCo2. The functional is PBE-GGA.

Cell: 8.407 8.407 8.407 Å, 127.46 127.46 77.51°
Sites, in units of the cell vectors:
Tm: 0.000 0.000 0.000
Tm: 0.028 0.528 0.826
Tm: 0.202 0.028 0.500
Tm: 0.298 0.798 0.826
Tm: 0.472 0.298 0.500
Tm: 0.500 0.500 0.000
Tm: 0.528 0.702 0.500
Tm: 0.702 0.202 0.174
Tm: 0.798 0.972 0.500
Tm: 0.972 0.472 0.174
Al: 0.250 0.250 0.000
Al: 0.750 0.750 0.000
Co: 0.131 0.369 0.500
Co: 0.369 0.869 0.238
Co: 0.631 0.131 0.762
Co: 0.869 0.631 0.500

## Properties
Formation energy from the elements: -0.2582 eV per atom
Symmetry: I4/mcm, No. 140

***

# 2
This record from the Alexandria database describes a relaxed structure of CsPmMnCl6. The functional is PBE-GGA.

Cell: 6.954 6.954 7.719 Å, 90.00 90.00 120.00°
Sites, in units of the cell vectors:
Cs: 0.000 0.000 0.000
Pm: 0.667 0.333 0.500
Mn: 0.333 0.667 0.500
Cl: 0.019 0.390 0.696
Cl: 0.019 0.629 0.304
Cl: 0.371 0.390 0.304
Cl: 0.371 0.981 0.696
Cl: 0.610 0.629 0.696
Cl: 0.610 0.981 0.304

## Properties
DFT total energy: -42.5 eV per cell
Symmetry: P312, No. 149

***

# 3
This record from the Alexandria database describes a relaxed structure of Pr2NdMg. The functional is PBE-GGA.

Cell: 5.704 5.704 5.704 Å, 60.00 60.00 60.00°
Sites, in units of the cell vectors:
Pr: 0.250 0.250 0.250
Pr: 0.750 0.750 0.750
Nd: 0.000 0.000 0.000
Mg: 0.500 0.500 0.500

## Properties
Formation energy from the elements: 0.0476 eV per atom
Symmetry: Fm-3m, No. 225

***

# 4
This record from the Alexandria database describes a relaxed structure of Sm3Dy12Al. The functional is PBE-GGA.

Cell: 4.950 4.950 20.087 Å, 90.00 90.00 90.00°
Sites, in units of the cell vectors:
Sm: 0.000 0.000 0.000
Sm: 0.000 0.000 0.254
Sm: 0.000 0.000 0.746
Dy: 0.000 0.500 0.128
Dy: 0.000 0.500 0.384
Dy: 0.000 0.500 0.616
Dy: 0.000 0.500 0.872
Dy: 0.500 0.000 0.128
Dy: 0.500 0.000 0.384
Dy: 0.500 0.000 0.616
Dy: 0.500 0.000 0.872
Dy: 0.500 0.500 0.000
Dy: 0.500 0.500 0.258
Dy: 0.500 0.500 0.500
Dy: 0.500 0.500 0.742
Al: 0.000 0.000 0.500

## Properties
Formation energy from the elements: -0.0163 eV per atom
Symmetry: P4/mmm, No. 123

***

| no. | total moment (μB per cell) |
| --- | --- |
| 1 | 0.00 |
| 2 | 5.00 |
| 3 | 0.00 |
| 4 | 0.00 |